# MgRu2Se, relaxed, DFT PBE
data_MgRu2Se
_chemical_formula_sum 'Mg2 Ru4 Se2'
_space_group_name_H-M_alt 'C 1 m 1'
_space_group_IT_number 8
_cell_length_a 9.916
_cell_length_b 2.959
_cell_length_c 4.944
_cell_angle_alpha 90.00
_cell_angle_beta 116.88
_cell_angle_gamma 90.00
loop_
_space_group_symop_operation_xyz
'x,y,z'
'x,-y,z'
'x+1/2,y+1/2,z'
'x+1/2,-y+1/2,z'
loop_
_atom_site_label
_atom_site_type_symbol
_atom_site_fract_x
_atom_site_fract_y
_atom_site_fract_z
_atom_site_occupancy
Mg1 Mg 0.000 0.000 0.000 1
Ru1 Ru 0.250 0.500 0.070 1
Ru2 Ru 0.470 0.000 0.488 1
Se1 Se 0.199 0.000 0.636 1
# - DOS at the Fermi energy (states/eV per atom) = 0.2900
# - E (eV per atom) = -5.87
# - ΔE_f (raw) (meV per atom) = 39.9
# - crystal system = monoclinic
# - total moment (Bohr magnetons per cell) = 0.00